LaGa2Ni3 (PBE, optimized geometry); DFT total energy = -5.199 eV per atom; space-group type = No. 63; ρ = 7.66 Mg/m³; DFT formation energy = -0.478 eV per atom
1.0
4.8034 -3.9312 0.0000
4.8034 3.9312 0.0000
0.0000 0.0000 5.2140
La Ga Ni
2 4 6
Direct
0.1927 0.8073 0.7500 La
0.8073 0.1927 0.2500 La
0.2834 0.2834 0.0000 Ga
0.2834 0.2834 0.5000 Ga
0.7166 0.7166 0.0000 Ga
0.7166 0.7166 0.5000 Ga
0.0489 0.5991 0.2500 Ni
0.4009 0.9511 0.2500 Ni
0.4434 0.5566 0.2500 Ni
0.5566 0.4434 0.7500 Ni
0.5991 0.0489 0.7500 Ni
0.9511 0.4009 0.7500 Ni